# 1
# Sc2NO, optimized geometry, DFT PBE
data_Sc2NO
_symmetry_space_group_name_H-M 'P 1'
_symmetry_Int_Tables_number 1
_symmetry_space_group_name_Hall 'P 1'
_cell_length_a 3.713
_cell_length_b 3.713
_cell_length_c 4.484
_cell_angle_alpha 90.00
_cell_angle_beta 90.00
_cell_angle_gamma 120.04
loop_
_atom_site_label
_atom_site_type_symbol
_atom_site_fract_x
_atom_site_fract_y
_atom_site_fract_z
Sc1 Sc 0.736 0.496 0.130
Sc2 Sc 0.403 0.829 0.630
N1 N 0.736 0.496 0.630
O1 O 0.403 0.829 0.130
# **Raw formation energy**: -2.365 eV per atom
# **Space-group type**: P-6m2, No. 187
# **Size of the total moment**: 0.0 μB/f.u.
# **Density of states at the Fermi level**: 0.472 states/eV per atom
# **Offset from the most stable computed form**: 153 meV per atom



# 2
# CdCo2SnHg, optimized geometry, DFT PBE
data_CdCo2SnHg
_symmetry_space_group_name_H-M 'P 1'
_symmetry_Int_Tables_number 1
_symmetry_space_group_name_Hall 'P 1'
_cell_length_a 4.874
_cell_length_b 5.375
_cell_length_c 4.874
_cell_angle_alpha 90.00
_cell_angle_beta 90.00
_cell_angle_gamma 90.00
loop_
_atom_site_label
_atom_site_type_symbol
_atom_site_fract_x
_atom_site_fract_y
_atom_site_fract_z
Cd1 Cd 0.000 0.000 0.000
Co1 Co 0.000 0.000 0.500
Co2 Co 0.500 0.000 0.000
Hg1 Hg 0.500 0.500 0.500
Sn1 Sn 0.000 0.500 0.000
# **Space-group type**: P4/mmm, No. 123
# **Formation energy from the elements**: 1259 meV/atom
# **Size of the total moment**: 3.6 μB/f.u.
# **Density of states at the Fermi level**: 1.257 states/eV per atom



# 3
# PmDySe3, optimized geometry, DFT PBE
data_PmDySe3
_symmetry_space_group_name_H-M 'P 1'
_symmetry_Int_Tables_number 1
_symmetry_space_group_name_Hall 'P 1'
_cell_length_a 4.106
_cell_length_b 8.146
_cell_length_c 8.259
_cell_angle_alpha 94.77
_cell_angle_beta 90.00
_cell_angle_gamma 90.00
loop_
_atom_site_label
_atom_site_type_symbol
_atom_site_fract_x
_atom_site_fract_y
_atom_site_fract_z
Pm1 Pm 0.250 0.380 0.230
Pm2 Pm 0.750 0.620 0.770
Dy1 Dy 0.250 0.854 0.323
Dy2 Dy 0.750 0.146 0.677
Se1 Se 0.750 0.624 0.389
Se2 Se 0.250 0.376 0.611
Se3 Se 0.750 0.317 0.978
Se4 Se 0.250 0.897 0.680
Se5 Se 0.250 0.683 0.022
Se6 Se 0.750 0.103 0.320
# **Raw formation energy**: -1.869 eV per atom
# **Space-group type**: P2_1/m, No. 11
# **Size of the total moment**: 0.0 μB/f.u.
# **Offset from the most stable computed form**: 20 meV per atom